PBE-GGA CaBeAs2, relaxed; energy relative to the elements = -0.4000 eV per atom; space group = No. 10; ρ = 3.76 Mg/m³
1.0
4.2276 0.0000 0.0000
0.0000 3.6389 0.0000
-0.0160 0.0000 5.7151
Ca Be As
1 1 2
direct
0.0000 0.0000 0.0000
0.5000 0.0000 0.5000
0.5003 0.5000 0.2556
0.4997 0.5000 0.7444